BaY2 | GGA-PBEsol | optimized geometry

Calculated values
Spin magnetization, μB per formula unit: 0.0
V, Å³ per atom: 36.2
Energy of formation from the pure elements, eV per atom: 0.149

Structure (CIF):
```
data_BaY2
_chemical_formula_sum 'Ba4 Y8'
_cell_length_a 3.701
_cell_length_b 20.137
_cell_length_c 5.829
_cell_angle_alpha 90.00
_cell_angle_beta 90.00
_cell_angle_gamma 90.00
_symmetry_space_group_name_H-M 'C m c m'
_symmetry_Int_Tables_number 63
_symmetry_space_group_name_Hall '-C 2c 2'
loop_
_atom_site_label
_atom_site_fract_x
_atom_site_fract_y
_atom_site_fract_z
_atom_site_occupancy
Ba1 0.000 0.214 0.250 1
Y1 0.000 0.099 0.750 1
Y2 0.000 0.454 0.750 1
```